Density functional theory data (SCAN) for CdSi3N at its PBEsol-relaxed geometry.

abc: 4.1441 4.1441 4.1441
angles: 90.00 90.00 90.00
Atoms (fractional coordinates):
Si 0.0000 0.5000 0.0000
Si 0.0000 0.0000 0.5000
Si 0.5000 0.0000 0.0000
N 0.0000 0.0000 0.0000
Cd 0.5000 0.5000 0.5000

Calculated values
- Fermi-level density of states: 2.6 states/eV/f.u.
- Energy relative to the elements, uncorrected: 0.82 eV per atom
- Space group: No. 221
- VASP energy: -65.675 eV/cell